No. 1
VASP calculation (PBE) on crystalline Ca2YClF at its relaxed geometry.

a b c (Å): 4.563 6.497 4.563
angles (deg): 90.00 90.00 90.00
Each line ends with the local moment (μB).
Fractional positions:
Cl (0.000, 0.500, 0.000)  0.02
Y (0.500, 0.500, 0.500)  0.29
Ca (0.000, 0.000, 0.500)  0.06
F (0.000, 0.000, 0.000)  0.00
Ca (0.500, 0.000, 0.000)  0.02

Properties
E_form (uncorrected), eV/atom: -1.284

No. 2
VASP calculation (PBE) on crystalline LiZr2Br at its relaxed geometry.

a b c (Å): 6.148 6.148 6.148
angles (deg): 141.61 141.61 55.42
Fractional positions:
Zr (0.500, 0.500, 0.000)
Li (0.750, 0.250, 0.500)
Br (0.250, 0.750, 0.500)
Zr (0.000, 0.000, 0.000)

Properties
E_form (uncorrected), eV/atom: 0.126